[1]
! SiPd2Br, optimized geometry, DFT PBE; values from VASP
&SYSTEM
  ibrav = 0, nat = 4, ntyp = 3
/
ATOMIC_SPECIES
Pd 106.42 Pd.upf
Si 28.09 Si.upf
Br 79.90 Br.upf
CELL_PARAMETERS angstrom
-2.305 -1.894 3.469
-4.069 1.688 1.236
-3.814 -2.391 -0.822
ATOMIC_POSITIONS crystal
Pd 0.750 0.750 0.750
Si 0.000 0.000 0.000
Pd 0.250 0.250 0.250
Br 0.500 0.500 0.500
! Symmetry   No. 225
! Formation energy (no corrections)   0.091 eV per atom

[2]
! Ca3VC, optimized geometry, DFT PBE; values from VASP
&SYSTEM
  ibrav = 0, nat = 5, ntyp = 3
/
ATOMIC_SPECIES
Ca 40.08 Ca.upf
V 50.94 V.upf
C 12.01 C.upf
CELL_PARAMETERS angstrom
5.095 0.000 0.000
0.000 5.095 0.000
0.000 0.000 5.095
ATOMIC_POSITIONS crystal
Ca 0.000 0.000 0.500
Ca 0.500 0.000 0.000
V 0.500 0.500 0.500
Ca 0.000 0.500 0.000
C 0.000 0.000 0.000
! Symmetry   No. 221
! Formation energy from the elements   0.62 eV per atom

[3]
! Sr2BAs, optimized geometry, DFT PBE; values from VASP
&SYSTEM
  ibrav = 0, nat = 8, ntyp = 3
/
ATOMIC_SPECIES
Sr 87.62 Sr.upf
B 10.81 B.upf
As 74.92 As.upf
CELL_PARAMETERS angstrom
7.972 0.000 0.000
0.000 7.972 0.000
3.986 3.986 3.654
ATOMIC_POSITIONS crystal
Sr 0.875 0.853 0.750
B 0.500 0.500 0.000
As 0.750 0.250 0.500
Sr 0.147 0.625 0.250
Sr 0.603 0.125 0.250
Sr 0.375 0.397 0.750
B 0.250 0.750 0.500
As 0.000 0.000 0.000
! Symmetry   No. 122
! Formation energy from the elements   0.28 eV per atom

[4]
! K2Li2AgF7, optimized geometry, DFT PBE; values from VASP
&SYSTEM
  ibrav = 0, nat = 12, ntyp = 4
/
ATOMIC_SPECIES
F 19.00 F.upf
K 39.10 K.upf
Li 6.94 Li.upf
Ag 107.87 Ag.upf
CELL_PARAMETERS angstrom
-2.484 3.506 -0.471
0.401 -1.285 -4.107
-9.433 -4.212 -1.934
ATOMIC_POSITIONS crystal
F 0.500 0.500 0.000
F 0.327 0.327 0.368
K 0.161 0.161 0.631
Li 0.478 0.478 0.177
F 0.624 0.000 0.149
F 0.376 0.000 0.851
K 0.839 0.839 0.369
F 0.000 0.624 0.149
Ag 0.000 0.000 0.000
F 0.000 0.376 0.851
Li 0.522 0.522 0.823
F 0.673 0.673 0.632
! Symmetry   No. 12
! Formation energy (no corrections)   -2.165 eV per atom

[5]
! RbGaF3, optimized geometry, DFT PBE; values from VASP
&SYSTEM
  ibrav = 0, nat = 5, ntyp = 3
/
ATOMIC_SPECIES
Rb 85.47 Rb.upf
Ga 69.72 Ga.upf
F 19.00 F.upf
CELL_PARAMETERS angstrom
3.677 0.000 0.000
0.000 3.677 0.000
0.000 0.000 6.755
ATOMIC_POSITIONS crystal
Rb 0.000 0.000 0.119
Ga 0.500 0.500 0.570
F 0.500 0.000 0.417
F 0.000 0.000 0.741
F 0.000 0.500 0.417
! Symmetry   No. 99
! Formation energy (no corrections)   -2.011 eV per atom

[6]
! Na2Tl3CdBr6, optimized geometry, DFT PBE; values from VASP
&SYSTEM
  ibrav = 0, nat = 12, ntyp = 4
/
ATOMIC_SPECIES
Br 79.90 Br.upf
Cd 112.41 Cd.upf
Tl 204.38 Tl.upf
Na 22.99 Na.upf
CELL_PARAMETERS angstrom
7.825 -0.021 0.010
-3.929 6.767 0.010
-1.289 -2.232 7.530
ATOMIC_POSITIONS crystal
Br 0.733 0.733 0.217
Cd 0.000 0.000 0.000
Tl 0.166 0.834 0.500
Br 0.267 0.267 0.783
Br 0.583 0.926 0.777
Tl 0.500 0.500 0.500
Br 0.926 0.583 0.777
Na 0.333 0.667 0.000
Tl 0.834 0.166 0.500
Br 0.417 0.074 0.223
Br 0.074 0.417 0.223
Na 0.667 0.333 0.000
! Symmetry   No. 12
! Formation energy (no corrections)   -0.970 eV per atom

Per-record calculated density, Mg/m³: 7.86, 2.30, 3.73, 3.04, 3.86, 5.21